Below is crystalline LiNp4O12 at its relaxed geometry, with properties calculated at the GGA-PBE level.

The structure in POSCAR format:
```
LiNp4O12
1.0
6.6101 -0.0506 -2.3451
-3.3293 5.7187 -2.3254
0.0361 0.0506 7.0137
O Np Li
12 4 1
Direct
0.2947 0.0638 0.7691
0.0624 0.7969 0.2655
0.1914 0.6945 0.8859
0.4685 0.2031 0.2655
0.8086 0.3055 0.1141
0.7053 0.4744 0.7691
0.1914 0.3055 0.4968
0.7053 0.9362 0.2309
0.2947 0.5256 0.2309
0.8086 0.6945 0.5032
0.5315 0.7969 0.7345
0.9376 0.2031 0.7345
0.5000 0.0000 0.0000
0.0000 0.5000 0.0000
0.0000 0.0000 0.5000
0.5000 0.5000 0.5000
0.0000 0.5000 0.5000
```

Output
As for the electronic total energy: -9.369 eV per atom. As for the size of the total moment: 5.0 μB/f.u. The value obtained for the formation energy from raw total energies is -2.712 eV/atom. As for the symmetry: Immm (71).